# KMoP2O8 PBE+U relaxed
data_KMoP2O8
_chemical_formula_sum 'K4 Mo4 P8 O32'
_cell_length_a 5.182
_cell_length_b 11.964
_cell_length_c 12.750
_cell_angle_alpha 90.00
_cell_angle_beta 112.81
_cell_angle_gamma 90.00
_space_group_name_H-M_alt 'P 1 21/c 1'
_space_group_IT_number 14
loop_
_space_group_symop_operation_xyz
'x,y,z'
'-x,-y,-z'
'-x,y+1/2,-z+1/2'
'x,-y+1/2,z+1/2'
loop_
_atom_site_label
_atom_site_type_symbol
_atom_site_fract_x
_atom_site_fract_y
_atom_site_fract_z
_atom_site_occupancy
K1 K 0.179 0.130 0.449 1
Mo1 Mo 0.408 0.120 0.165 1
P1 P 0.108 0.063 0.865 1
P2 P 0.113 0.693 0.851 1
O1 O 0.050 0.214 0.118 1
O2 O 0.064 0.173 0.786 1
O3 O 0.142 0.587 0.917 1
O4 O 0.186 0.527 0.647 1
O5 O 0.246 0.527 0.319 1
O6 O 0.288 0.106 0.982 1
O7 O 0.402 0.737 0.859 1
O8 O 0.499 0.134 0.309 1
# Excess energy over the best structure of this formula in the dataset ... 0.00 eV per formula unit
# Crystal system ... monoclinic